# LiTb3Tm2Se6 PBE optimized geometry
# ΔE_f (raw) (eV per formula unit): -20.8
data_LiTb3Tm2Se6
_chemical_formula_sum 'Li2 Tb6 Tm4 Se12'
_symmetry_space_group_name_H-M 'C 1 2/m 1'
_symmetry_Int_Tables_number 12
_cell_length_a 6.9657
_cell_length_b 12.0925
_cell_length_c 7.0396
_cell_angle_alpha 90.00
_cell_angle_beta 109.41
_cell_angle_gamma 90.00
loop_
_symmetry_equiv_pos_as_xyz
'x,y,z'
'-x,-y,-z'
'-x,y,-z'
'x,-y,z'
'x+1/2,y+1/2,z'
'-x+1/2,-y+1/2,-z'
'-x+1/2,y+1/2,-z'
'x+1/2,-y+1/2,z'
loop_
_atom_site_label
_atom_site_fract_x
_atom_site_fract_y
_atom_site_fract_z
Li1 0.0000 0.0000 0.0000
Tb1 0.0000 0.1665 0.5000
Tb2 0.0000 0.5000 0.5000
Tm1 0.0000 0.3347 0.0000
Se1 0.2423 0.1632 0.2390
Se2 0.2454 0.0000 0.7632